NaPrAsO: relaxed, GGA-PBE.

Structure (POSCAR):
```
NaPrAsO
1.0
3.6486 0.0000 0.0000
0.0000 7.3700 0.0000
0.0000 0.0000 7.3330
Na Pr As O
2 2 2 2
Direct
0.0000 0.1365 0.0000 Na
0.0000 0.8635 0.5000 Na
0.5000 0.4613 0.6728 Pr
0.5000 0.5387 0.1728 Pr
0.0000 0.2531 0.4038 As
0.0000 0.7469 0.9038 As
0.5000 0.3206 0.9483 O
0.5000 0.6794 0.4483 O
```

ρ (g/cm³): 4.29
Relative energy among the computed polymorphs (eV/atom): 0.2412
Magnetization (μB/f.u.): 0.00